A plane-wave DFT calculation with PBE was carried out for LaTa3Mo after structural relaxation.

Results
Its density of states at the Fermi level is 6.7 states/eV/cell. The space-group type is No. 221. The value obtained for the magnetic moment is 1.488 μB per formula unit. The calculation puts the relative energy among the computed polymorphs at 1579 meV/atom. The formation energy from the elements is 1208 kJ/mol of formula units.

a b c (Å): 4.849 4.849 4.849
angles (deg): 90.00 90.00 90.00
Sites, in units of the cell vectors:
1 La 0.000 0.000 0.000
2 Ta 0.000 0.000 0.500
3 Ta 0.000 0.500 0.000
4 Ta 0.500 0.000 0.000
5 Mo 0.500 0.500 0.500


A plane-wave DFT calculation with PBE was carried out for LaTaMo3 after structural relaxation.

Results
Its density of states at the Fermi level is 9.0 states/eV/cell. The space-group type is No. 221. The value obtained for the magnetic moment is 2.222 μB per formula unit. The calculation puts the relative energy among the computed polymorphs at 0 meV/atom. The formation energy from the elements is 599 kJ/mol of formula units.

a b c (Å): 4.901 4.901 4.901
angles (deg): 90.00 90.00 90.00
Sites, in units of the cell vectors:
1 La 0.000 0.000 0.000
2 Ta 0.500 0.500 0.500
3 Mo 0.000 0.500 0.500
4 Mo 0.500 0.000 0.500
5 Mo 0.500 0.500 0.000


A plane-wave DFT calculation with PBE was carried out for LaTa2ZnMo after structural relaxation.

Results
Its density of states at the Fermi level is 5.1 states/eV/cell. The space-group type is No. 123. The value obtained for the magnetic moment is 0.000 μB per formula unit. The formation energy from the elements is 354 kJ/mol of formula units.

a b c (Å): 4.846 4.846 5.132
angles (deg): 90.00 90.00 90.00
Sites, in units of the cell vectors:
1 La 0.000 0.000 0.000
2 Ta 0.000 0.500 0.500
3 Ta 0.500 0.000 0.500
4 Zn 0.500 0.500 0.000
5 Mo 0.500 0.500 0.500


| no. | volume (Å³/cell) |
| --- | --- |
| 1 | 114 |
| 2 | 118 |
| 3 | 121 |